# 1
WAuS, optimized geometry, DFT PBE; calculated density = 12.376 g/cm3
1.0
3.1880 0.0000 0.0000
0.0131 5.8972 0.0000
0.0193 2.6741 5.8932
W Au S
2 2 2
Direct
0.2494 0.1788 0.0124
0.7506 0.8212 0.9876
0.2494 0.4406 0.3023
0.7506 0.5594 0.6977
0.2513 0.0487 0.7094
0.7487 0.9513 0.2906

# 2
WAuS2, optimized geometry, DFT PBE; calculated density = 11.947 g/cm3; offset from the most stable computed form = 0.830 eV per atom
1.0
0.0000 3.1388 3.1388
3.1388 0.0000 3.1388
3.1388 3.1388 0.0000
W Au S
1 1 2
Direct
0.0000 0.0000 0.0000
0.5000 0.5000 0.5000
0.2500 0.2500 0.2500
0.7500 0.7500 0.7500

| no. | formation energy (no corrections) (meV/atom) |
| --- | --- |
| 1 | -68 |
| 2 | 553 |